No. 1
A plane-wave DFT calculation with PBEsol was carried out for InSbTe2Ru after structural relaxation.

Properties
Formation energy without anion corrections: 0.356 eV/atom

abc: 5.325 5.325 4.923
angles: 90.00 90.00 90.00
Sites, in units of the cell vectors:
In 0.000 0.000 0.000
Sb 0.500 0.500 0.000
Te 0.000 0.500 0.500
Te 0.500 0.000 0.500
Ru 0.500 0.500 0.500

---

No. 2
A plane-wave DFT calculation with PBEsol was carried out for Y2ZrMo after structural relaxation.

Properties
Formation enthalpy at 0 K: 0.347 eV/atom

abc: 5.054 5.054 5.054
angles: 121.28 121.28 87.80
Sites, in units of the cell vectors:
Y 0.000 0.000 0.000
Y 0.750 0.250 0.500
Zr 0.250 0.750 0.500
Mo 0.500 0.500 0.000

---

No. 3
A plane-wave DFT calculation with PBEsol was carried out for Hg2PBr after structural relaxation.

Properties
Formation energy without anion corrections: -0.126 eV/atom

abc: 7.694 7.694 7.694
angles: 133.54 133.54 67.81
Sites, in units of the cell vectors:
Hg 0.041 0.625 0.916
Hg 0.375 0.291 0.416
Hg 0.709 0.125 0.084
Hg 0.875 0.959 0.584
P 0.000 0.000 0.000
P 0.750 0.250 0.500
Br 0.250 0.750 0.500
Br 0.500 0.500 0.000

---

| no. | calculated volume (Å³/cell) |
| --- | --- |
| 1 | 139.6 |
| 2 | 89.5 |
| 3 | 235.3 |